Entry 1:
Here is a relaxed MnCdSb2 crystal from Alexandria via LeMat-Bulk. Energies are from PBE.

Geometry as extended XYZ:
```
4
Lattice="-2.1120 2.1120 5.2606 2.1120 -2.1120 5.2606 2.1120 2.1120 -5.2606" Properties=species:S:1:pos:R:3 pbc="T T T"
Mn 0.0000 0.0000 0.0000
Cd 0.0000 2.1120 2.6303
Sb 2.1120 0.0000 2.6303
Sb 0.0000 0.0000 5.2606
```

Computed properties:
DOS(E_F) (states/eV/f.u.): 2.26
E (eV/cell): -17.21
Formation energy from raw total energies (eV/atom): 0.280
M_tot (μB per formula unit): 3.99

Entry 2:
Here is a relaxed TaTi5Co4 crystal from Alexandria via LeMat-Bulk. Energies are from PBE.

Geometry as extended XYZ:
```
10
Lattice="2.9875 0.0000 0.0000 0.0000 2.9875 0.0000 0.0000 0.0000 15.7533" Properties=species:S:1:pos:R:3 pbc="T T T"
Ta 0.0000 0.0000 0.0000
Ti 1.4938 1.4938 1.9473
Ti 1.4938 1.4938 4.9027
Ti 1.4938 1.4938 7.8766
Ti 1.4938 1.4938 10.8506
Ti 1.4938 1.4938 13.8060
Co 0.0000 0.0000 3.4458
Co 0.0000 0.0000 6.3739
Co 0.0000 0.0000 9.3794
Co 0.0000 0.0000 12.3075
```

Computed properties:
DOS(E_F) (states/eV/f.u.): 10.19
E (eV/cell): -82.80
ΔH_f (0 K) (meV/atom): -305
M_tot (μB per formula unit): 1.74

Entry 3:
Here is a relaxed AgBi8Pt2 crystal from Alexandria via LeMat-Bulk. Energies are from PBE.

Geometry as extended XYZ:
```
11
Lattice="6.9136 -4.3343 0.0000 6.9136 4.3343 0.0000 -0.0562 0.0000 5.6080" Properties=species:S:1:pos:R:3 pbc="T T T"
Ag 0.0000 0.0000 0.0000
Bi 5.5196 1.7888 1.4554
Bi 2.8444 0.0000 1.4908
Bi 5.1647 0.0000 4.3095
Bi 8.2512 1.7888 4.1526
Bi 5.5196 -1.7888 1.4554
Bi 8.6062 0.0000 1.2985
Bi 10.9265 0.0000 4.1173
Bi 8.2512 -1.7888 4.1526
Pt 2.3668 0.0000 4.2712
Pt 11.4040 0.0000 1.3368
```

Computed properties:
DOS(E_F) (states/eV/f.u.): 6.09
E (eV/cell): -45.47
ΔH_f (0 K) (meV/atom): 46
M_tot (μB per formula unit): 0.00

Entry 4:
Here is a relaxed Bi3SeO crystal from Alexandria via LeMat-Bulk. Energies are from PBE.

Geometry as extended XYZ:
```
5
Lattice="5.5305 0.0000 0.0000 0.0000 5.5305 0.0000 0.0000 0.0000 5.5305" Properties=species:S:1:pos:R:3 pbc="T T T"
Bi 0.0000 0.0000 2.7653
Bi 0.0000 2.7653 0.0000
Bi 2.7653 0.0000 0.0000
Se 0.0000 0.0000 0.0000
O 2.7653 2.7653 2.7653
```

Computed properties:
DOS(E_F) (states/eV/f.u.): 18.48
E (eV/cell): -15.07
Formation energy from raw total energies (eV/atom): 1.003
M_tot (μB per formula unit): 0.00

Entry 5:
Here is a relaxed NbPt2Au2 crystal from Alexandria via LeMat-Bulk. Energies are from PBE.

Geometry as extended XYZ:
```
5
Lattice="-1.8696 1.8696 6.7020 1.8696 -1.8696 6.7020 1.8696 1.8696 -6.7020" Properties=species:S:1:pos:R:3 pbc="T T T"
Nb 0.0000 0.0000 0.0000
Pt 1.8696 0.0000 3.3510
Pt 0.0000 1.8696 3.3510
Au 0.0000 0.0000 5.3791
Au 0.0000 0.0000 8.0250
```

Computed properties:
DOS(E_F) (states/eV/f.u.): 4.72
E (eV/cell): -27.09
ΔH_f (0 K) (meV/atom): 323
M_tot (μB per formula unit): 1.13

Entry 6:
Here is a relaxed KMgTa2Ni crystal from Alexandria via LeMat-Bulk. Energies are from PBE.

Geometry as extended XYZ:
```
5
Lattice="4.6116 0.0000 0.0000 0.0000 4.6116 0.0000 0.0000 0.0000 4.7881" Properties=species:S:1:pos:R:3 pbc="T T T"
K 0.0000 0.0000 0.0000
Mg 0.0000 0.0000 2.3940
Ta 0.0000 2.3058 0.0000
Ta 2.3058 0.0000 0.0000
Ni 2.3058 2.3058 2.3940
```

Computed properties:
DOS(E_F) (states/eV/f.u.): 7.20
E (eV/cell): -17.99
ΔH_f (0 K) (meV/atom): 2838
M_tot (μB per formula unit): 0.00

Entry 7:
Here is a relaxed SmGe6 crystal from Alexandria via LeMat-Bulk. Energies are from PBE.

Geometry as extended XYZ:
```
7
Lattice="-3.5243 3.5243 3.5243 3.5243 -3.5243 3.5243 3.5243 3.5243 -3.5243" Properties=species:S:1:pos:R:3 pbc="T T T"
Sm 0.0000 0.0000 0.0000
Ge 3.5243 1.7621 0.0000
Ge 3.5243 0.0000 1.7621
Ge 1.7621 3.5243 0.0000
Ge 1.7621 0.0000 3.5243
Ge 0.0000 3.5243 1.7621
Ge 0.0000 1.7621 3.5243
```

Computed properties:
DOS(E_F) (states/eV/f.u.): 4.68
E (eV/cell): -30.85
ΔH_f (0 K) (meV/atom): 224
M_tot (μB per formula unit): 0.00

Entry 8:
Here is a relaxed CuAs2Se4 crystal from Alexandria via LeMat-Bulk. Energies are from PBE.

Geometry as extended XYZ:
```
7
Lattice="-3.5966 3.5966 3.4545 3.5966 -3.5966 3.4545 3.5966 3.5966 -3.4545" Properties=species:S:1:pos:R:3 pbc="T T T"
Cu 0.0000 0.0000 0.0000
As 3.5966 0.0000 1.7272
As 0.0000 3.5966 1.7272
Se 2.0967 1.2876 0.0000
Se 2.3090 -1.4999 3.4545
Se 1.2876 5.0965 0.0000
Se 1.4999 2.3090 3.4545
```

Computed properties:
DOS(E_F) (states/eV/f.u.): 4.53
E (eV/cell): -26.85
Formation energy from raw total energies (eV/atom): 0.069
M_tot (μB per formula unit): 0.00

Among the records above, which one has the highest DOS(E_F)?
Bi3SeO